Cs2Sb2Se5 | PBE-GGA | relaxed

Formation energy without anion corrections   -0.556 eV per atom
E above lowest polymorph   4.6 kJ/mol of atoms
SG   C2/m

Unit cell a=5.722 b=7.997 c=8.859 alpha=103.09 beta=90.00 gamma=110.96
Atoms (fractional coordinates):
Cs: 0.406 0.812 0.673
Cs: 0.594 0.188 0.327
Sb: 0.156 0.312 0.892
Sb: 0.844 0.688 0.108
Se: 0.331 0.662 0.041
Se: 0.669 0.338 0.959
Se: 0.143 0.287 0.609
Se: 0.857 0.713 0.391
Se: 0.000 0.000 0.000

=====

CsInSb2Te | PBE-GGA | relaxed

Formation energy without anion corrections   0.125 eV per atom
D(E_F)   5.8 states/eV/cell
E above lowest polymorph   0.0 kJ/mol of atoms
SG   P4/mmm

Unit cell a=5.764 b=5.764 c=6.048 alpha=90.00 beta=90.00 gamma=90.00
Each line ends with the local moment (μB).
Atoms (fractional coordinates):
Cs: 0.500 0.500 0.500  0.01
Sb: 0.000 0.500 0.000  0.13
Sb: 0.500 0.000 0.000  0.13
Te: 0.000 0.000 0.500  0.08
In: 0.000 0.000 0.000  0.01

=====

Tm12GaNi6 | PBE-GGA | relaxed

D(E_F)   21.0 states/eV/cell
E above lowest polymorph   0.0 kJ/mol of atoms
SG   Im-3

Unit cell a=8.227 b=8.227 c=8.227 alpha=109.47 beta=109.47 gamma=109.47
Atoms (fractional coordinates):
Tm: 0.300 0.113 0.813
Tm: 0.300 0.486 0.187
Tm: 0.700 0.514 0.813
Tm: 0.700 0.887 0.187
Tm: 0.113 0.813 0.300
Tm: 0.486 0.187 0.300
Tm: 0.514 0.813 0.700
Tm: 0.887 0.187 0.700
Tm: 0.813 0.300 0.113
Tm: 0.187 0.300 0.486
Tm: 0.813 0.700 0.514
Tm: 0.187 0.700 0.887
Ga: 0.000 0.000 0.000
Ni: 0.375 0.500 0.875
Ni: 0.625 0.500 0.125
Ni: 0.500 0.875 0.375
Ni: 0.500 0.125 0.625
Ni: 0.875 0.375 0.500
Ni: 0.125 0.625 0.500

=====

YIn2Ru | PBE-GGA | relaxed

D(E_F)   5.9 states/eV/cell
Calculated total energy   -20.85 eV/f.u.
SG   I-42d

Unit cell a=4.175 b=4.175 c=11.039 alpha=79.10 beta=79.10 gamma=90.00
Atoms (fractional coordinates):
Y: 0.500 0.500 0.000
Y: 0.250 0.750 0.500
Ru: 0.000 0.000 0.000
Ru: 0.750 0.250 0.500
In: 0.645 0.125 0.250
In: 0.105 0.625 0.250
In: 0.375 0.355 0.750
In: 0.875 0.895 0.750

=====

Computed density, in the same sequence as the records: 4.09, 5.11, 9.49, 7.52 g/cm3.
Computed M_tot, in the same sequence as the records: 0.00, 0.17, 0.00, 0.00 μB/atom.